1.
Crystalline Ca2CI at its relaxed geometry, computed with PBE.

Structure (POSCAR):
```
Ca2CI
1.0
-4.1515 5.5467 -1.8334
-2.9812 -2.4728 -0.7304
-2.2988 0.4980 7.6973
C I Ca
2 2 4
Cartesian
-5.3156 1.4044 6.3069 C
-3.8799 1.8392 -1.0254 C
-4.2741 4.5689 1.9775 I
-3.8005 0.5678 2.9550 I
-5.9380 2.7711 4.2202 Ca
-5.4825 3.7390 -0.9162 Ca
-2.2010 2.4286 0.7615 Ca
-2.6231 1.3908 5.9979 Ca
```

Results
SG: Pm (6)
V in Å³ per atom: 28.41
ρ in g/cm³: 3.202
ΔE_f (raw) in eV per atom: -0.488

=====

2.
Crystalline CaMgCI2 at its relaxed geometry, computed with PBE.

Structure (POSCAR):
```
CaMgCI2
1.0
-1.7803 4.1624 -3.0229
3.3173 -2.6497 -5.6022
-4.4569 -2.8455 -1.2932
C I Ca Mg
1 2 1 1
Cartesian
-1.4600 -0.6664 -4.9592 C
-0.8902 2.0812 -1.5114 I
-2.2284 -1.4227 -0.6466 I
1.6586 -1.3248 -2.8011 Ca
0.0000 0.0000 0.0000 Mg
```

Results
SG: P4/mmm (123)
V in Å³ per atom: 41.66
ρ in g/cm³: 2.632
ΔE_f (raw) in eV per atom: 1.049

=====

3.
Crystalline Ca2MnCI at its relaxed geometry, computed with PBE.

Structure (POSCAR):
```
Ca2MnCI
1.0
5.7953 0.0000 0.0000
0.0000 4.7494 0.0000
0.0000 0.0000 5.7953
C Mn I Ca
1 1 1 2
Cartesian
2.8976 2.3747 2.8976 C
0.0000 2.3747 0.0000 Mn
0.0000 0.0000 0.0000 I
0.0000 0.0000 2.8976 Ca
2.8976 0.0000 0.0000 Ca
```

Results
SG: P4/mmm (123)
V in Å³ per atom: 31.90
ρ in g/cm³: 2.852
ΔE_f (raw) in eV per atom: 1.500

=====

4.
Crystalline CaCI2N at its relaxed geometry, computed with PBE.

Structure (POSCAR):
```
CaCI2N
1.0
-1.6433 4.8942 3.3582
-1.1850 -3.6849 4.7904
2.8825 0.3133 0.9540
N C I Ca
1 1 2 1
Cartesian
1.4413 0.1566 0.4770 N
0.0000 0.0000 0.0000 C
-0.5925 -1.8424 2.3952 I
-0.8217 2.4471 1.6791 I
0.0271 0.7613 4.5513 Ca
```

Results
SG: P4/mmm (123)
V in Å³ per atom: 23.16
ρ in g/cm³: 4.588
Offset from the most stable computed form in eV/atom: 0.000
ΔE_f (raw) in eV per atom: 0.845